# BaThSb2 (PBE, relaxed)
data_BaThSb2
_space_group_name_H-M_alt 'P 1'
_space_group_IT_number 1
_cell_length_a 8.439
_cell_length_b 8.439
_cell_length_c 8.439
_cell_angle_alpha 32.29
_cell_angle_beta 32.29
_cell_angle_gamma 32.29
loop_
_space_group_symop_operation_xyz
'x,y,z'
loop_
_atom_site_label
_atom_site_fract_x
_atom_site_fract_y
_atom_site_fract_z
_atom_site_occupancy
Ba1 0.000 0.000 0.000 1
Th1 0.500 0.500 0.500 1
Sb1 0.239 0.239 0.239 1
Sb2 0.761 0.761 0.761 1
# D(E_F)   0.15 states/eV/f.u.
# Polymorph energy (0 for the lowest one)   0 meV/atom
# Formation energy without anion corrections   -4.08 eV per formula unit

=====

# BaTh3Sb4 (PBE, relaxed)
data_BaTh3Sb4
_space_group_name_H-M_alt 'P 1'
_space_group_IT_number 1
_cell_length_a 8.002
_cell_length_b 8.002
_cell_length_c 4.574
_cell_angle_alpha 90.00
_cell_angle_beta 90.00
_cell_angle_gamma 109.00
loop_
_space_group_symop_operation_xyz
'x,y,z'
loop_
_atom_site_label
_atom_site_fract_x
_atom_site_fract_y
_atom_site_fract_z
_atom_site_occupancy
Ba1 0.000 0.000 0.000 1
Th1 0.000 0.500 0.500 1
Th2 0.500 0.000 0.500 1
Th3 0.500 0.500 0.000 1
Sb1 0.257 0.743 0.000 1
Sb2 0.266 0.266 0.500 1
Sb3 0.734 0.734 0.500 1
Sb4 0.743 0.257 0.000 1
# D(E_F)   4.28 states/eV/f.u.
# Formation energy without anion corrections   -7.44 eV per formula unit

=====

# BaThSb2 (PBE, relaxed)
data_BaThSb2
_space_group_name_H-M_alt 'P 1'
_space_group_IT_number 1
_cell_length_a 3.981
_cell_length_b 3.981
_cell_length_c 8.415
_cell_angle_alpha 90.00
_cell_angle_beta 90.00
_cell_angle_gamma 90.00
loop_
_space_group_symop_operation_xyz
'x,y,z'
loop_
_atom_site_label
_atom_site_fract_x
_atom_site_fract_y
_atom_site_fract_z
_atom_site_occupancy
Ba1 0.000 0.000 0.000 1
Th1 0.000 0.000 0.500 1
Sb1 0.500 0.500 0.282 1
Sb2 0.500 0.500 0.718 1
# D(E_F)   2.90 states/eV/f.u.
# Polymorph energy (0 for the lowest one)   185 meV/atom
# Formation energy without anion corrections   -3.34 eV per formula unit

=====

# BaTiSb3 (PBE, relaxed)
data_BaTiSb3
_space_group_name_H-M_alt 'P 1'
_space_group_IT_number 1
_cell_length_a 5.394
_cell_length_b 5.394
_cell_length_c 5.394
_cell_angle_alpha 90.00
_cell_angle_beta 90.00
_cell_angle_gamma 90.00
loop_
_space_group_symop_operation_xyz
'x,y,z'
loop_
_atom_site_label
_atom_site_fract_x
_atom_site_fract_y
_atom_site_fract_z
_atom_site_occupancy
Ba1 0.000 0.000 0.000 1
Ti1 0.500 0.500 0.500 1
Sb1 0.000 0.500 0.500 1
Sb2 0.500 0.000 0.500 1
Sb3 0.500 0.500 0.000 1
# D(E_F)   2.92 states/eV/f.u.
# Polymorph energy (0 for the lowest one)   0 meV/atom
# Formation energy without anion corrections   -2.35 eV per formula unit

=====

# Ba2TiSb (PBE, relaxed)
data_Ba2TiSb
_space_group_name_H-M_alt 'P 1'
_space_group_IT_number 1
_cell_length_a 7.531
_cell_length_b 7.531
_cell_length_c 7.531
_cell_angle_alpha 101.52
_cell_angle_beta 101.52
_cell_angle_gamma 126.91
loop_
_space_group_symop_operation_xyz
'x,y,z'
loop_
_atom_site_label
_atom_site_fract_x
_atom_site_fract_y
_atom_site_fract_z
_atom_site_occupancy
Ba1 0.108 0.625 0.983 1
Ba2 0.375 0.358 0.483 1
Ba3 0.642 0.125 0.017 1
Ba4 0.875 0.892 0.517 1
Ti1 0.250 0.750 0.500 1
Ti2 0.500 0.500 0.000 1
Sb1 0.000 0.000 0.000 1
Sb2 0.750 0.250 0.500 1
# D(E_F)   4.98 states/eV/f.u.
# Formation energy without anion corrections   1.05 eV per formula unit

=====

# BaTi2Sb (PBE, relaxed)
data_BaTi2Sb
_space_group_name_H-M_alt 'P 1'
_space_group_IT_number 1
_cell_length_a 10.784
_cell_length_b 10.784
_cell_length_c 10.784
_cell_angle_alpha 153.53
_cell_angle_beta 153.53
_cell_angle_gamma 37.79
loop_
_space_group_symop_operation_xyz
'x,y,z'
loop_
_atom_site_label
_atom_site_fract_x
_atom_site_fract_y
_atom_site_fract_z
_atom_site_occupancy
Ba1 0.375 0.625 0.750 1
Ba2 0.625 0.375 0.250 1
Ti1 0.000 0.000 0.000 1
Ti2 0.000 0.000 0.500 1
Ti3 0.000 0.500 0.000 1
Ti4 0.500 0.000 0.500 1
Sb1 0.125 0.875 0.250 1
Sb2 0.875 0.125 0.750 1
# D(E_F)   5.35 states/eV/f.u.
# Formation energy without anion corrections   0.69 eV per formula unit

=====

# Ba4TiSb4 (PBE, relaxed)
data_Ba4TiSb4
_space_group_name_H-M_alt 'P 1'
_space_group_IT_number 1
_cell_length_a 10.063
_cell_length_b 10.063
_cell_length_c 7.343
_cell_angle_alpha 90.00
_cell_angle_beta 90.00
_cell_angle_gamma 90.00
loop_
_space_group_symop_operation_xyz
'x,y,z'
loop_
_atom_site_label
_atom_site_fract_x
_atom_site_fract_y
_atom_site_fract_z
_atom_site_occupancy
Ba1 0.022 0.250 0.065 1
Ba2 0.250 0.022 0.565 1
Ba3 0.250 0.478 0.565 1
Ba4 0.478 0.250 0.065 1
Ba5 0.522 0.750 0.935 1
Ba6 0.750 0.522 0.435 1
Ba7 0.750 0.978 0.435 1
Ba8 0.978 0.750 0.935 1
Ti1 0.250 0.750 0.250 1
Ti2 0.750 0.250 0.750 1
Sb1 0.025 0.750 0.451 1
Sb2 0.250 0.525 0.049 1
Sb3 0.250 0.975 0.049 1
Sb4 0.475 0.750 0.451 1
Sb5 0.525 0.250 0.549 1
Sb6 0.750 0.025 0.951 1
Sb7 0.750 0.475 0.951 1
Sb8 0.975 0.250 0.549 1
# Formation energy without anion corrections   -8.34 eV per formula unit

=====

# BaTiSb3 (PBE, relaxed)
data_BaTiSb3
_space_group_name_H-M_alt 'P 1'
_space_group_IT_number 1
_cell_length_a 6.088
_cell_length_b 6.088
_cell_length_c 6.088
_cell_angle_alpha 90.00
_cell_angle_beta 90.00
_cell_angle_gamma 90.00
loop_
_space_group_symop_operation_xyz
'x,y,z'
loop_
_atom_site_label
_atom_site_fract_x
_atom_site_fract_y
_atom_site_fract_z
_atom_site_occupancy
Ba1 0.000 0.000 0.000 1
Ti1 0.500 0.500 0.500 1
Sb1 0.000 0.000 0.500 1
Sb2 0.000 0.500 0.000 1
Sb3 0.500 0.000 0.000 1
# D(E_F)   5.13 states/eV/f.u.
# Polymorph energy (0 for the lowest one)   1762 meV/atom
# Formation energy without anion corrections   6.46 eV per formula unit

=====

# BaTi3Sb3 (PBE, relaxed)
data_BaTi3Sb3
_space_group_name_H-M_alt 'P 1'
_space_group_IT_number 1
_cell_length_a 9.661
_cell_length_b 9.661
_cell_length_c 4.802
_cell_angle_alpha 90.00
_cell_angle_beta 90.00
_cell_angle_gamma 120.00
loop_
_space_group_symop_operation_xyz
'x,y,z'
loop_
_atom_site_label
_atom_site_fract_x
_atom_site_fract_y
_atom_site_fract_z
_atom_site_occupancy
Ba1 0.333 0.667 0.250 1
Ba2 0.667 0.333 0.750 1
Ti1 0.039 0.840 0.250 1
Ti2 0.160 0.200 0.250 1
Ti3 0.200 0.039 0.750 1
Ti4 0.800 0.961 0.250 1
Ti5 0.840 0.800 0.750 1
Ti6 0.961 0.160 0.750 1
Sb1 0.068 0.700 0.750 1
Sb2 0.300 0.368 0.750 1
Sb3 0.368 0.068 0.250 1
Sb4 0.632 0.932 0.750 1
Sb5 0.700 0.632 0.250 1
Sb6 0.932 0.300 0.250 1
# D(E_F)   6.89 states/eV/f.u.
# Formation energy without anion corrections   -3.61 eV per formula unit

=====

# BaTiSb (PBE, relaxed)
data_BaTiSb
_space_group_name_H-M_alt 'P 1'
_space_group_IT_number 1
_cell_length_a 4.360
_cell_length_b 4.360
_cell_length_c 10.704
_cell_angle_alpha 90.00
_cell_angle_beta 90.00
_cell_angle_gamma 90.00
loop_
_space_group_symop_operation_xyz
'x,y,z'
loop_
_atom_site_label
_atom_site_fract_x
_atom_site_fract_y
_atom_site_fract_z
_atom_site_occupancy
Ba1 0.250 0.250 0.185 1
Ba2 0.750 0.750 0.815 1
Ti1 0.250 0.750 0.500 1
Ti2 0.750 0.250 0.500 1
Sb1 0.250 0.250 0.668 1
Sb2 0.750 0.750 0.332 1
# D(E_F)   3.43 states/eV/f.u.
# Formation energy without anion corrections   -1.73 eV per formula unit

=====

# Ba3TiSb (PBE, relaxed)
data_Ba3TiSb
_space_group_name_H-M_alt 'P 1'
_space_group_IT_number 1
_cell_length_a 6.643
_cell_length_b 6.643
_cell_length_c 6.643
_cell_angle_alpha 90.00
_cell_angle_beta 90.00
_cell_angle_gamma 90.00
loop_
_space_group_symop_operation_xyz
'x,y,z'
loop_
_atom_site_label
_atom_site_fract_x
_atom_site_fract_y
_atom_site_fract_z
_atom_site_occupancy
Ba1 0.000 0.000 0.500 1
Ba2 0.000 0.500 0.000 1
Ba3 0.500 0.000 0.000 1
Ti1 0.500 0.500 0.500 1
Sb1 0.000 0.000 0.000 1
# D(E_F)   8.16 states/eV/f.u.
# Polymorph energy (0 for the lowest one)   0 meV/atom
# Formation energy without anion corrections   1.26 eV per formula unit

=====

# Ba3TiSb3 (PBE, relaxed)
data_Ba3TiSb3
_space_group_name_H-M_alt 'P 1'
_space_group_IT_number 1
_cell_length_a 11.176
_cell_length_b 11.176
_cell_length_c 14.330
_cell_angle_alpha 90.00
_cell_angle_beta 90.00
_cell_angle_gamma 38.61
loop_
_space_group_symop_operation_xyz
'x,y,z'
loop_
_atom_site_label
_atom_site_fract_x
_atom_site_fract_y
_atom_site_fract_z
_atom_site_occupancy
Ba1 0.015 0.638 0.133 1
Ba2 0.138 0.515 0.633 1
Ba3 0.178 0.822 0.844 1
Ba4 0.322 0.678 0.344 1
Ba5 0.362 0.985 0.133 1
Ba6 0.485 0.862 0.633 1
Ba7 0.515 0.138 0.367 1
Ba8 0.638 0.015 0.867 1
Ba9 0.678 0.322 0.656 1
Ba10 0.822 0.178 0.156 1
Ba11 0.862 0.485 0.367 1
Ba12 0.985 0.362 0.867 1
Ti1 0.081 0.081 0.500 1
Ti2 0.419 0.419 0.000 1
Ti3 0.581 0.581 0.000 1
Ti4 0.919 0.919 0.500 1
Sb1 0.034 0.650 0.383 1
Sb2 0.150 0.534 0.883 1
Sb3 0.219 0.781 0.598 1
Sb4 0.281 0.719 0.098 1
Sb5 0.350 0.966 0.383 1
Sb6 0.466 0.850 0.883 1
Sb7 0.534 0.150 0.117 1
Sb8 0.650 0.034 0.617 1
Sb9 0.719 0.281 0.902 1
Sb10 0.781 0.219 0.402 1
Sb11 0.850 0.466 0.117 1
Sb12 0.966 0.350 0.617 1
# D(E_F)   3.00 states/eV/f.u.
# Formation energy without anion corrections   -6.14 eV per formula unit

=====

Q: Which volume values were calculated for the entries above? A: 152, 277, 133, 157, 306, 249, 744, 226, 388, 203, 293, 1117, in Å³/cell.